DFT (GGA+U) results for an optimized crystal structure of Cs2CrF.

Lattice parameters (Å, degrees): 6.1553 6.1553 6.1553 60.00 60.00 60.00
Fractional positions:
1 Cs 0.2500 0.2500 0.2500
2 Cs 0.7500 0.7500 0.7500
3 Cr 0.5000 0.5000 0.5000
4 F 0.0000 0.0000 0.0000

energy = -3.35 eV/atom
space group = No. 225